Entry from the Alexandria database: AgPb2Se after structural relaxation (PBE).

## Properties
- Formation energy (no corrections): 0.0384 eV per atom
- DOS at the Fermi energy: 1.93 states/eV/f.u.
- Crystal system: orthorhombic

extended XYZ file:
```
4
Lattice="-2.366 2.443 4.475 2.366 -2.443 4.475 2.366 2.443 -4.475" Properties=species:S:1:pos:R:3 pbc="T T T"
Ag 0.000 0.000 0.000
Pb 2.366 0.000 2.226
Pb 0.000 2.443 2.250
Se 0.000 0.000 4.475
```

Entry from the Alexandria database: AgPb5Se6 after structural relaxation (PBE).

## Properties
- Formation energy (no corrections): -0.4383 eV per atom
- DOS at the Fermi energy: 8.15 states/eV/f.u.
- Crystal system: monoclinic

extended XYZ file:
```
12
Lattice="3.731 -6.447 0.000 3.731 6.447 0.000 -2.522 0.000 7.028" Properties=species:S:1:pos:R:3 pbc="T T T"
Ag 0.000 0.000 0.000
Pb 2.470 4.260 3.514
Pb 3.731 2.135 0.000
Pb 2.470 0.000 3.514
Pb 3.731 -2.135 0.000
Pb 2.470 -4.260 3.514
Se 1.181 2.064 1.691
Se -0.110 0.000 5.298
Se 1.181 -2.064 1.691
Se 3.759 2.064 5.337
Se 5.051 0.000 1.730
Se 3.759 -2.064 5.337
```

Entry from the Alexandria database: Ag2Pb2Se after structural relaxation (PBE).

## Properties
- Offset from the most stable computed form: 0.015 eV/atom
- Formation energy (no corrections): 0.0209 eV per atom
- DOS at the Fermi energy: 2.21 states/eV/f.u.
- Crystal system: tetragonal

extended XYZ file:
```
5
Lattice="-1.955 1.955 8.390 1.955 -1.955 8.390 1.955 1.955 -8.390" Properties=species:S:1:pos:R:3 pbc="T T T"
Ag 1.955 0.000 4.195
Ag 0.000 1.955 4.195
Pb 0.000 0.000 1.680
Pb 0.000 0.000 15.100
Se 0.000 0.000 8.390
```

Entry from the Alexandria database: Ag5PbSe6 after structural relaxation (PBE).

## Properties
- Formation energy (no corrections): -0.0834 eV per atom
- DOS at the Fermi energy: 5.66 states/eV/f.u.
- Crystal system: monoclinic

extended XYZ file:
```
12
Lattice="3.660 -5.884 0.000 3.660 5.884 0.000 -2.801 0.000 6.491" Properties=species:S:1:pos:R:3 pbc="T T T"
Ag 0.000 0.000 0.000
Ag 2.260 3.920 3.245
Ag 3.660 1.939 0.000
Ag 3.660 -1.939 0.000
Ag 2.260 -3.920 3.245
Pb 2.260 0.000 3.245
Se 0.661 2.002 1.655
Se -0.152 0.000 5.055
Se 0.661 -2.002 1.655
Se 3.858 2.002 4.836
Se 4.671 0.000 1.435
Se 3.858 -2.002 4.836
```

Entry from the Alexandria database: AgPb3Se after structural relaxation (PBE).

## Properties
- Offset from the most stable computed form: 0.000 eV/atom
- Formation energy (no corrections): 0.3206 eV per atom
- DOS at the Fermi energy: 2.08 states/eV/f.u.
- Crystal system: cubic

extended XYZ file:
```
5
Lattice="5.479 0.000 0.000 0.000 5.479 0.000 0.000 0.000 5.479" Properties=species:S:1:pos:R:3 pbc="T T T"
Ag 0.000 0.000 0.000
Pb 0.000 0.000 2.740
Pb 0.000 2.740 0.000
Pb 2.740 0.000 0.000
Se 2.740 2.740 2.740
```

Entry from the Alexandria database: AgPb3Se4 after structural relaxation (PBE).

## Properties
- Formation energy (no corrections): -0.3672 eV per atom
- DOS at the Fermi energy: 5.23 states/eV/f.u.
- Crystal system: tetragonal

extended XYZ file:
```
8
Lattice="4.283 0.000 0.000 0.000 4.283 0.000 0.000 0.000 12.066" Properties=species:S:1:pos:R:3 pbc="T T T"
Ag 0.000 0.000 0.000
Pb 0.000 0.000 6.033
Pb 2.141 2.141 2.899
Pb 2.141 2.141 9.167
Se 0.000 0.000 2.910
Se 0.000 0.000 9.156
Se 2.141 2.141 0.000
Se 2.141 2.141 6.033
```

Entry from the Alexandria database: AgPb2Se after structural relaxation (PBE).

## Properties
- Formation energy (no corrections): 0.0074 eV per atom
- DOS at the Fermi energy: 2.36 states/eV/f.u.
- Crystal system: tetragonal

extended XYZ file:
```
4
Lattice="-2.184 2.184 5.561 2.184 -2.184 5.561 2.184 2.184 -5.561" Properties=species:S:1:pos:R:3 pbc="T T T"
Ag 0.000 0.000 0.000
Pb 2.184 0.000 2.781
Pb 0.000 0.000 5.561
Se 0.000 2.184 2.781
```

Entry from the Alexandria database: SiAgPb2Se4 after structural relaxation (PBE).

## Properties
- Formation energy (no corrections): -0.2361 eV per atom
- DOS at the Fermi energy: 4.12 states/eV/f.u.
- Crystal system: orthorhombic

extended XYZ file:
```
16
Lattice="-4.069 4.176 5.812 4.069 -4.176 5.812 4.069 4.176 -5.812" Properties=species:S:1:pos:R:3 pbc="T T T"
Si -2.034 2.088 2.906
Si 2.034 2.088 2.906
Ag 0.000 0.000 0.000
Ag 0.000 4.176 0.000
Pb 2.034 2.088 -2.906
Pb 2.034 -2.088 2.906
Pb 4.069 0.000 0.000
Pb 0.000 0.000 5.812
Se 1.905 2.088 0.183
Se 2.164 -2.088 5.995
Se 0.000 0.249 2.815
Se 4.069 0.249 2.998
Se 0.000 3.928 2.815
Se 4.069 3.928 2.998
Se 1.905 6.265 -0.183
Se 2.164 2.088 5.629
```

Entry from the Alexandria database: Sm2AgPb3Se6 after structural relaxation (PBE).

## Properties
- Formation energy (no corrections): -0.9273 eV per atom
- DOS at the Fermi energy: 4.11 states/eV/f.u.
- Crystal system: monoclinic

extended XYZ file:
```
12
Lattice="9.456 -2.140 0.000 9.456 2.140 0.000 -1.858 0.000 8.342" Properties=species:S:1:pos:R:3 pbc="T T T"
Sm 2.508 0.000 2.775
Sm 14.546 0.000 5.567
Ag 9.456 0.000 0.000
Pb 1.403 0.000 7.063
Pb 8.527 0.000 4.171
Pb 15.651 0.000 1.280
Se -0.254 0.000 1.962
Se 4.437 0.000 7.500
Se 5.449 0.000 3.542
Se 11.606 0.000 4.800
Se 12.617 0.000 0.842
Se 17.308 0.000 6.381
```

Entry from the Alexandria database: Ag2SnPbSe4 after structural relaxation (PBE).

## Properties
- Formation energy (no corrections): -0.2885 eV per atom
- Crystal system: orthorhombic

extended XYZ file:
```
8
Lattice="0.000 4.744 5.823 4.472 0.000 5.823 4.472 4.744 0.000" Properties=species:S:1:pos:R:3 pbc="T T T"
Ag 2.236 2.372 0.000
Ag 2.236 2.372 5.823
Sn 4.472 4.744 2.961
Pb 4.472 4.744 8.647
Se 6.525 4.744 4.561
Se 4.472 2.077 7.262
Se 2.419 4.744 4.561
Se 4.472 7.410 7.262
```